Arrangement 1

Material: Si4MoW
Method: DFT, PBE
State: relaxed

```
data_Si4MoW
_cell_length_a 4.546
_cell_length_b 4.546
_cell_length_c 6.449
_cell_angle_alpha 110.77
_cell_angle_beta 110.77
_cell_angle_gamma 41.54
_space_group_name_H-M_alt 'P 1'
_space_group_IT_number 1
_space_group_name_Hall 'P 1'
loop_
_atom_site_label
_atom_site_type_symbol
_atom_site_fract_x
_atom_site_fract_y
_atom_site_fract_z
_atom_site_occupancy
Si1 Si 0.165 0.165 0.332 1
Si2 Si 0.165 0.165 0.833 1
Si3 Si 0.835 0.835 0.167 1
Si4 Si 0.835 0.835 0.668 1
Mo1 Mo 0.500 0.500 0.000 1
W1 W 0.500 0.500 0.500 1
```

Properties
density	7.96	Mg/m³
space-group type	No. 12

***

Arrangement 2

Material: Si4MoW
Method: DFT, PBE
State: relaxed

```
data_Si4MoW
_cell_length_a 4.827
_cell_length_b 4.827
_cell_length_c 4.827
_cell_angle_alpha 60.00
_cell_angle_beta 60.00
_cell_angle_gamma 60.00
_space_group_name_H-M_alt 'P 1'
_space_group_IT_number 1
_space_group_name_Hall 'P 1'
loop_
_atom_site_label
_atom_site_type_symbol
_atom_site_fract_x
_atom_site_fract_y
_atom_site_fract_z
_atom_site_occupancy
Si1 Si 0.125 0.125 0.125 1
Si2 Si 0.125 0.125 0.625 1
Si3 Si 0.125 0.625 0.125 1
Si4 Si 0.625 0.125 0.125 1
Mo1 Mo 0.500 0.500 0.500 1
W1 W 0.750 0.750 0.750 1
```

Properties
density	8.19	Mg/m³
space-group type	No. 216

***

Relative energies, meV/atom: arrangement 1 0; arrangement 2 858.

***

Arrangement 1

Material: Si2MoW
Method: DFT, PBE
State: relaxed

```
data_Si2MoW
_cell_length_a 3.208
_cell_length_b 3.930
_cell_length_c 4.627
_cell_angle_alpha 90.00
_cell_angle_beta 90.00
_cell_angle_gamma 90.00
_space_group_name_H-M_alt 'P 1'
_space_group_IT_number 1
_space_group_name_Hall 'P 1'
loop_
_atom_site_label
_atom_site_type_symbol
_atom_site_fract_x
_atom_site_fract_y
_atom_site_fract_z
_atom_site_occupancy
Si1 Si 0.000 0.000 0.000 1
Si2 Si 0.500 0.000 0.500 1
Mo1 Mo 0.000 0.500 0.500 1
W1 W 0.500 0.500 0.000 1
```

Properties
density	9.56	Mg/m³
space-group type	No. 47

***

Arrangement 2

Material: Si2MoW
Method: DFT, PBE
State: relaxed

```
data_Si2MoW
_cell_length_a 8.235
_cell_length_b 8.235
_cell_length_c 8.235
_cell_angle_alpha 20.31
_cell_angle_beta 20.31
_cell_angle_gamma 20.31
_space_group_name_H-M_alt 'P 1'
_space_group_IT_number 1
_space_group_name_Hall 'P 1'
loop_
_atom_site_label
_atom_site_type_symbol
_atom_site_fract_x
_atom_site_fract_y
_atom_site_fract_z
_atom_site_occupancy
Si1 Si 0.249 0.249 0.249 1
Si2 Si 0.751 0.751 0.751 1
Mo1 Mo 0.500 0.500 0.500 1
W1 W 0.000 0.000 0.000 1
```

Properties
density	9.48	Mg/m³
space-group type	No. 166

***

Arrangement 3

Material: Si2MoW
Method: DFT, PBE
State: relaxed

```
data_Si2MoW
_cell_length_a 4.936
_cell_length_b 4.936
_cell_length_c 4.936
_cell_angle_alpha 140.91
_cell_angle_beta 129.89
_cell_angle_gamma 65.32
_space_group_name_H-M_alt 'P 1'
_space_group_IT_number 1
_space_group_name_Hall 'P 1'
loop_
_atom_site_label
_atom_site_type_symbol
_atom_site_fract_x
_atom_site_fract_y
_atom_site_fract_z
_atom_site_occupancy
Si1 Si 0.000 0.000 0.000 1
Si2 Si 0.743 0.243 0.500 1
Mo1 Mo 0.502 0.502 0.000 1
W1 W 0.241 0.741 0.500 1
```

Properties
density	9.73	Mg/m³
space-group type	No. 44

***

Relative energies, meV/atom: arrangement 1 80; arrangement 2 87; arrangement 3 0.

***

Arrangement 1

Material: Si2MoW
Method: DFT, PBE
State: relaxed

```
data_Si2MoW
_cell_length_a 8.275
_cell_length_b 8.275
_cell_length_c 8.275
_cell_angle_alpha 20.46
_cell_angle_beta 20.46
_cell_angle_gamma 20.46
_space_group_name_H-M_alt 'P 1'
_space_group_IT_number 1
_space_group_name_Hall 'P 1'
loop_
_atom_site_label
_atom_site_type_symbol
_atom_site_fract_x
_atom_site_fract_y
_atom_site_fract_z
_atom_site_occupancy
Si1 Si 0.000 0.000 0.000 1
Si2 Si 0.248 0.248 0.248 1
Mo1 Mo 0.502 0.502 0.502 1
W1 W 0.748 0.748 0.748 1
```

Properties
density	9.20	Mg/m³
space-group type	No. 160

***

Arrangement 2

Material: Si2MoW
Method: DFT, PBE
State: relaxed

```
data_Si2MoW
_cell_length_a 4.442
_cell_length_b 4.442
_cell_length_c 4.960
_cell_angle_alpha 100.89
_cell_angle_beta 100.89
_cell_angle_gamma 37.66
_space_group_name_H-M_alt 'P 1'
_space_group_IT_number 1
_space_group_name_Hall 'P 1'
loop_
_atom_site_label
_atom_site_type_symbol
_atom_site_fract_x
_atom_site_fract_y
_atom_site_fract_z
_atom_site_occupancy
Si1 Si 0.250 0.250 0.247 1
Si2 Si 0.750 0.750 0.753 1
Mo1 Mo 0.500 0.500 0.000 1
W1 W 0.000 0.000 0.500 1
```

Properties
density	9.52	Mg/m³
space-group type	No. 12

***

Relative energies, meV/atom: arrangement 1 30; arrangement 2 0.

***

Arrangement 1

Material: Si2MoW
Method: DFT, PBE
State: relaxed

```
data_Si2MoW
_cell_length_a 2.684
_cell_length_b 2.684
_cell_length_c 8.299
_cell_angle_alpha 90.00
_cell_angle_beta 90.00
_cell_angle_gamma 90.00
_space_group_name_H-M_alt 'P 1'
_space_group_IT_number 1
_space_group_name_Hall 'P 1'
loop_
_atom_site_label
_atom_site_type_symbol
_atom_site_fract_x
_atom_site_fract_y
_atom_site_fract_z
_atom_site_occupancy
Si1 Si 0.000 0.000 0.000 1
Si2 Si 0.500 0.500 0.250 1
Mo1 Mo 0.500 0.500 0.763 1
W1 W 0.000 0.000 0.489 1
```

Properties
density	9.33	Mg/m³
space-group type	No. 99

***

Arrangement 2

Material: Si2MoW
Method: DFT, PBE
State: relaxed

```
data_Si2MoW
_cell_length_a 4.178
_cell_length_b 4.718
_cell_length_c 4.718
_cell_angle_alpha 38.03
_cell_angle_beta 90.00
_cell_angle_gamma 90.00
_space_group_name_H-M_alt 'P 1'
_space_group_IT_number 1
_space_group_name_Hall 'P 1'
loop_
_atom_site_label
_atom_site_type_symbol
_atom_site_fract_x
_atom_site_fract_y
_atom_site_fract_z
_atom_site_occupancy
Si1 Si 0.000 0.000 0.000 1
Si2 Si 0.500 0.172 0.172 1
Mo1 Mo 0.500 0.448 0.448 1
W1 W 0.000 0.725 0.725 1
```

Properties
density	9.74	Mg/m³
space-group type	No. 38

***

Relative energies, meV/atom: arrangement 1 521; arrangement 2 0.

***

Arrangement 1

Material: Si2MoW
Method: DFT, PBE
State: relaxed

```
data_Si2MoW
_cell_length_a 3.048
_cell_length_b 3.048
_cell_length_c 6.115
_cell_angle_alpha 90.00
_cell_angle_beta 90.00
_cell_angle_gamma 90.00
_space_group_name_H-M_alt 'P 1'
_space_group_IT_number 1
_space_group_name_Hall 'P 1'
loop_
_atom_site_label
_atom_site_type_symbol
_atom_site_fract_x
_atom_site_fract_y
_atom_site_fract_z
_atom_site_occupancy
Si1 Si 0.000 0.000 0.247 1
Si2 Si 0.000 0.000 0.753 1
Mo1 Mo 0.500 0.500 0.000 1
W1 W 0.500 0.500 0.500 1
```

Properties
density	9.82	Mg/m³
space-group type	No. 123

***

Arrangement 2

Material: Si2MoW
Method: DFT, PBE
State: relaxed

```
data_Si2MoW
_cell_length_a 2.732
_cell_length_b 2.732
_cell_length_c 8.443
_cell_angle_alpha 90.00
_cell_angle_beta 90.00
_cell_angle_gamma 107.12
_space_group_name_H-M_alt 'P 1'
_space_group_IT_number 1
_space_group_name_Hall 'P 1'
loop_
_atom_site_label
_atom_site_type_symbol
_atom_site_fract_x
_atom_site_fract_y
_atom_site_fract_z
_atom_site_occupancy
Si1 Si 0.000 0.000 0.000 1
Si2 Si 0.500 0.500 0.258 1
Mo1 Mo 0.500 0.500 0.762 1
W1 W 0.000 0.000 0.498 1
```

Properties
density	9.26	Mg/m³
space-group type	No. 35

***

Arrangement 3

Material: Si2MoW
Method: DFT, PBE
State: relaxed

```
data_Si2MoW
_cell_length_a 2.804
_cell_length_b 3.909
_cell_length_c 5.394
_cell_angle_alpha 90.00
_cell_angle_beta 98.90
_cell_angle_gamma 90.00
_space_group_name_H-M_alt 'P 1'
_space_group_IT_number 1
_space_group_name_Hall 'P 1'
loop_
_atom_site_label
_atom_site_type_symbol
_atom_site_fract_x
_atom_site_fract_y
_atom_site_fract_z
_atom_site_occupancy
Si1 Si 0.218 0.000 0.241 1
Si2 Si 0.782 0.000 0.759 1
Mo1 Mo 0.500 0.500 0.000 1
W1 W 0.000 0.500 0.500 1
```

Properties
density	9.55	Mg/m³
space-group type	No. 10

***

Relative energies, meV/atom: arrangement 1 0; arrangement 2 176; arrangement 3 58.

***

Arrangement 1

Material: Si2MoW
Method: DFT, PBE
State: relaxed

```
data_Si2MoW
_cell_length_a 4.821
_cell_length_b 4.821
_cell_length_c 4.821
_cell_angle_alpha 140.68
_cell_angle_beta 123.21
_cell_angle_gamma 71.25
_space_group_name_H-M_alt 'P 1'
_space_group_IT_number 1
_space_group_name_Hall 'P 1'
loop_
_atom_site_label
_atom_site_type_symbol
_atom_site_fract_x
_atom_site_fract_y
_atom_site_fract_z
_atom_site_occupancy
Si1 Si 0.249 0.249 0.000 1
Si2 Si 0.751 0.751 0.000 1
Mo1 Mo 0.000 0.500 0.500 1
W1 W 0.500 0.000 0.500 1
```

Properties
density	9.57	Mg/m³
space-group type	No. 71

***

Arrangement 2

Material: Si2MoW
Method: DFT, PBE
State: relaxed

```
data_Si2MoW
_cell_length_a 2.816
_cell_length_b 2.816
_cell_length_c 7.827
_cell_angle_alpha 90.00
_cell_angle_beta 90.00
_cell_angle_gamma 109.95
_space_group_name_H-M_alt 'P 1'
_space_group_IT_number 1
_space_group_name_Hall 'P 1'
loop_
_atom_site_label
_atom_site_type_symbol
_atom_site_fract_x
_atom_site_fract_y
_atom_site_fract_z
_atom_site_occupancy
Si1 Si 0.000 0.000 0.249 1
Si2 Si 0.000 0.000 0.751 1
Mo1 Mo 0.500 0.500 0.000 1
W1 W 0.500 0.500 0.500 1
```

Properties
density	9.56	Mg/m³
space-group type	No. 65

***

Relative energies, meV/atom: arrangement 1 8; arrangement 2 0.

***

Arrangement 1

Material: Si2MoW
Method: DFT, PBE
State: relaxed

```
data_Si2MoW
_cell_length_a 3.189
_cell_length_b 3.189
_cell_length_c 5.582
_cell_angle_alpha 90.00
_cell_angle_beta 90.00
_cell_angle_gamma 90.00
_space_group_name_H-M_alt 'P 1'
_space_group_IT_number 1
_space_group_name_Hall 'P 1'
loop_
_atom_site_label
_atom_site_type_symbol
_atom_site_fract_x
_atom_site_fract_y
_atom_site_fract_z
_atom_site_occupancy
Si1 Si 0.000 0.000 0.000 1
Si2 Si 0.500 0.500 0.250 1
Mo1 Mo 0.500 0.500 0.776 1
W1 W 0.000 0.000 0.477 1
```

Properties
density	9.82	Mg/m³
space-group type	No. 99

***

Arrangement 2

Material: Si2MoW
Method: DFT, PBE
State: relaxed

```
data_Si2MoW
_cell_length_a 4.712
_cell_length_b 4.712
_cell_length_c 4.381
_cell_angle_alpha 104.75
_cell_angle_beta 104.75
_cell_angle_gamma 37.86
_space_group_name_H-M_alt 'P 1'
_space_group_IT_number 1
_space_group_name_Hall 'P 1'
loop_
_atom_site_label
_atom_site_type_symbol
_atom_site_fract_x
_atom_site_fract_y
_atom_site_fract_z
_atom_site_occupancy
Si1 Si 0.000 0.000 0.000 1
Si2 Si 0.743 0.743 0.325 1
Mo1 Mo 0.486 0.486 0.482 1
W1 W 0.257 0.257 0.839 1
```

Properties
density	9.70	Mg/m³
space-group type	No. 8

***

Relative energies, meV/atom: arrangement 1 0; arrangement 2 183.